# Ho2Al3Os (PBE, relaxed)
data_Ho2Al3Os
_chemical_formula_sum 'Ho6 Al9 Os3'
_symmetry_space_group_name_H-M 'R -3 m'
_symmetry_Int_Tables_number 166
_symmetry_space_group_name_Hall '-R 3 2"'
_cell_length_a 5.4565
_cell_length_b 5.4565
_cell_length_c 13.2427
_cell_angle_alpha 90.00
_cell_angle_beta 90.00
_cell_angle_gamma 120.00
loop_
_atom_site_label
_atom_site_fract_x
_atom_site_fract_y
_atom_site_fract_z
_atom_site_occupancy
Ho1 0.0000 0.0000 0.1278 1
Al1 0.0000 0.5000 0.0000 1
Os1 0.0000 0.0000 0.5000 1
# ρ in g/cm³: 8.8
# DFT formation energy in eV/atom: -0.5194
# Final energy in eV for the cell shown: -104.19

# K2SbPt (PBE, relaxed)
data_K2SbPt
_chemical_formula_sum 'K4 Sb2 Pt2'
_symmetry_space_group_name_H-M 'I m m m'
_symmetry_Int_Tables_number 71
_symmetry_space_group_name_Hall '-I 2 2'
_cell_length_a 4.3405
_cell_length_b 4.3961
_cell_length_c 10.8127
_cell_angle_alpha 90.00
_cell_angle_beta 90.00
_cell_angle_gamma 90.00
loop_
_atom_site_label
_atom_site_fract_x
_atom_site_fract_y
_atom_site_fract_z
_atom_site_occupancy
K1 0.0000 0.0000 0.2481 1
Sb1 0.0000 0.5000 0.0000 1
Pt1 0.0000 0.5000 0.5000 1
# E_form (uncorrected) in eV per atom: -0.0748
# ρ in g/cm³: 6.4
# Final energy in eV for the cell shown: -25.31

Please write out number 2 again, unchanged.
# K2SbPt (PBE, relaxed)
data_K2SbPt
_chemical_formula_sum 'K4 Sb2 Pt2'
_symmetry_space_group_name_H-M 'I m m m'
_symmetry_Int_Tables_number 71
_symmetry_space_group_name_Hall '-I 2 2'
_cell_length_a 4.3405
_cell_length_b 4.3961
_cell_length_c 10.8127
_cell_angle_alpha 90.00
_cell_angle_beta 90.00
_cell_angle_gamma 90.00
loop_
_atom_site_label
_atom_site_fract_x
_atom_site_fract_y
_atom_site_fract_z
_atom_site_occupancy
K1 0.0000 0.0000 0.2481 1
Sb1 0.0000 0.5000 0.0000 1
Pt1 0.0000 0.5000 0.5000 1
# E_form (uncorrected) in eV per atom: -0.0748
# ρ in g/cm³: 6.4
# Final energy in eV for the cell shown: -25.31

Question: What is the formula in the first record?
Answer: Ho2Al3Os

Question: Which value of final energy does entry 2 give?
Answer: -25.31 eV for the cell shown

Question: What is the formula in the second record?
Answer: K2SbPt